[1]
Density functional theory data (PBE-GGA) for a relaxed structure of AgAuI2O.

D(E_F): 1.024 states/eV per atom
Mass density: 7.2 g/cm3
Raw formation energy: 0.27 eV per atom

POSCAR file:
```
AgAuI2O
1.0
5.783 0.000 0.000
0.000 5.783 0.000
0.000 0.000 3.982
Ag I Au O
1 2 1 1
Direct
0.500 0.500 0.500 Ag
0.000 0.500 0.000 I
0.500 0.000 0.000 I
0.000 0.000 0.000 Au
0.000 0.000 0.500 O
```

[2]
Density functional theory data (PBE-GGA) for a relaxed structure of AgAuIO2.

D(E_F): 1.083 states/eV per atom
Mass density: 6.4 g/cm3
Raw formation energy: 0.50 eV per atom

POSCAR file:
```
AgAuIO2
1.0
4.007 0.000 0.000
0.000 4.007 0.000
0.000 0.000 7.470
Ag I Au O
1 1 1 2
Direct
0.000 0.000 0.000 Ag
0.000 0.000 0.500 I
0.500 0.500 0.500 Au
0.000 0.500 0.000 O
0.500 0.000 0.000 O
```

[3]
Density functional theory data (PBE-GGA) for a relaxed structure of AgAuIO2.

D(E_F): 0.546 states/eV per atom
Mass density: 6.3 g/cm3
Raw formation energy: 0.33 eV per atom

POSCAR file:
```
AgAuIO2
1.0
4.007 0.000 0.000
0.000 4.007 0.000
0.000 0.000 7.675
Ag O I Au
1 2 1 1
Direct
0.500 0.500 0.500 Ag
0.000 0.500 0.000 O
0.500 0.000 0.000 O
0.000 0.000 0.500 I
0.000 0.000 0.000 Au
```

[4]
Density functional theory data (PBE-GGA) for a relaxed structure of AgAuI2O.

D(E_F): 1.901 states/eV per atom
Mass density: 7.3 g/cm3
Raw formation energy: 0.51 eV per atom

POSCAR file:
```
AgAuI2O
1.0
5.714 0.000 0.000
0.000 5.714 0.000
0.000 0.000 3.993
I O Au Ag
2 1 1 1
Direct
0.000 0.500 0.000 I
0.500 0.000 0.000 I
0.000 0.000 0.500 O
0.500 0.500 0.500 Au
0.000 0.000 0.000 Ag
```

[5]
Density functional theory data (PBE-GGA) for a relaxed structure of AgAuI4O12.

Mass density: 5.6 g/cm3
Raw formation energy: -0.24 eV per atom

POSCAR file:
```
AgAuI4O12
1.0
5.876 0.000 0.000
0.000 8.140 0.024
0.000 3.928 12.565
I O Ag Au
8 24 2 2
Direct
0.403 0.801 0.827 I
0.051 0.691 0.158 I
0.885 0.197 0.674 I
0.441 0.314 0.840 I
0.597 0.801 0.327 I
0.559 0.314 0.340 I
0.115 0.197 0.174 I
0.949 0.691 0.658 I
0.285 0.421 0.370 O
0.338 0.214 0.972 O
0.377 0.738 0.438 O
0.755 0.410 0.650 O
0.400 0.121 0.323 O
0.596 0.828 0.716 O
0.103 0.882 0.672 O
0.715 0.421 0.870 O
0.266 0.591 0.847 O
0.404 0.828 0.216 O
0.245 0.410 0.150 O
0.897 0.882 0.172 O
0.785 0.565 0.137 O
0.127 0.790 0.019 O
0.600 0.121 0.823 O
0.926 0.170 0.289 O
0.877 0.257 0.069 O
0.873 0.790 0.519 O
0.734 0.591 0.347 O
0.215 0.565 0.637 O
0.662 0.214 0.472 O
0.123 0.257 0.569 O
0.623 0.738 0.938 O
0.074 0.170 0.789 O
0.891 0.049 0.966 Ag
0.109 0.049 0.466 Ag
0.252 0.497 0.502 Au
0.748 0.497 0.002 Au
```

[6]
Density functional theory data (PBE-GGA) for a relaxed structure of AgPAu2I.

D(E_F): 0.671 states/eV per atom
Mass density: 9.0 g/cm3
Raw formation energy: 0.24 eV per atom

POSCAR file:
```
AgPAu2I
1.0
-0.734 -2.607 3.877
2.351 -4.257 -2.417
4.199 1.352 1.704
Au Ag I P
2 1 1 1
Direct
0.500 0.000 0.000 Au
0.000 0.000 0.500 Au
0.000 0.500 0.000 Ag
0.500 0.500 0.500 I
0.000 0.000 0.000 P
```

[7]
Density functional theory data (PBE-GGA) for a relaxed structure of Rb6AgAu2I3.

D(E_F): 0.000 states/eV per atom
Mass density: 3.9 g/cm3
Raw formation energy: -0.81 eV per atom

POSCAR file:
```
Rb6AgAu2I3
1.0
-3.777 3.611 7.293
-0.640 -8.827 -1.468
8.678 0.489 2.413
I Rb Au Ag
3 6 2 1
Direct
0.165 0.835 0.500 I
0.835 0.165 0.500 I
0.500 0.500 0.500 I
0.580 0.919 0.758 Rb
0.259 0.259 0.758 Rb
0.741 0.741 0.242 Rb
0.919 0.580 0.758 Rb
0.420 0.081 0.242 Rb
0.081 0.420 0.242 Rb
0.333 0.667 0.000 Au
0.667 0.333 0.000 Au
0.000 0.000 0.000 Ag
```

[8]
Density functional theory data (PBE-GGA) for a relaxed structure of Rb3AgAu2I8.

D(E_F): 0.533 states/eV per atom
Mass density: 4.8 g/cm3
Raw formation energy: -0.63 eV per atom

POSCAR file:
```
Rb3AgAu2I8
1.0
-4.837 6.480 0.417
-2.579 -6.749 -3.655
-3.971 -3.568 9.390
I Au Rb Ag
8 2 3 1
Direct
0.836 0.673 0.671 I
0.164 0.836 0.329 I
0.836 0.164 0.671 I
0.327 0.164 0.671 I
0.673 0.836 0.329 I
0.164 0.327 0.329 I
0.333 0.667 0.943 I
0.667 0.333 0.057 I
0.667 0.333 0.814 Au
0.333 0.667 0.186 Au
0.667 0.333 0.393 Rb
0.000 0.000 0.000 Rb
0.333 0.667 0.607 Rb
0.000 0.000 0.500 Ag
```

[9]
Density functional theory data (PBE-GGA) for a relaxed structure of Rb2AgAuI.

D(E_F): 0.390 states/eV per atom
Mass density: 4.4 g/cm3
Raw formation energy: -0.51 eV per atom

POSCAR file:
```
Rb2AgAuI
1.0
6.584 0.000 0.000
0.000 6.584 0.000
0.000 0.000 5.264
Rb I Ag Au
2 1 1 1
Direct
0.500 0.000 0.000 Rb
0.000 0.500 0.000 Rb
0.500 0.500 0.500 I
0.000 0.000 0.500 Ag
0.000 0.000 0.000 Au
```

[10]
Density functional theory data (PBE-GGA) for a relaxed structure of Rb2AgAu2I6.

D(E_F): 0.343 states/eV per atom
Mass density: 5.2 g/cm3
Raw formation energy: -0.57 eV per atom

POSCAR file:
```
Rb2AgAu2I6
1.0
-6.884 -3.432 1.904
6.397 -5.431 -3.154
0.772 2.837 7.907
Rb Au Ag I
2 2 1 6
Direct
0.743 0.486 0.229 Rb
0.257 0.514 0.771 Rb
0.938 0.876 0.786 Au
0.062 0.124 0.214 Au
0.500 0.000 0.500 Ag
0.201 0.889 0.209 I
0.750 0.500 0.677 I
0.312 0.111 0.791 I
0.799 0.111 0.791 I
0.688 0.889 0.209 I
0.250 0.500 0.323 I
```

[11]
Density functional theory data (PBE-GGA) for a relaxed structure of AgSbAuI2.

D(E_F): 0.847 states/eV per atom
Mass density: 6.4 g/cm3
Raw formation energy: 0.53 eV per atom

POSCAR file:
```
AgSbAuI2
1.0
-4.545 3.022 1.790
-3.507 -3.744 -2.583
-0.180 -2.943 4.510
I Ag Sb Au
2 1 1 1
Direct
0.000 0.500 0.000 I
0.500 0.000 0.000 I
0.500 0.500 0.500 Ag
0.000 0.000 0.500 Sb
0.000 0.000 0.000 Au
```

[12]
Density functional theory data (PBE-GGA) for a relaxed structure of SiAgAu2I.

D(E_F): 0.661 states/eV per atom
Mass density: 7.5 g/cm3
Raw formation energy: 1.01 eV per atom

POSCAR file:
```
SiAgAu2I
1.0
5.167 0.000 0.000
0.000 5.456 0.000
0.000 0.000 5.167
I Ag Si Au
1 1 1 2
Direct
0.000 0.500 0.000 I
0.000 0.000 0.000 Ag
0.500 0.500 0.500 Si
0.000 0.000 0.500 Au
0.500 0.000 0.000 Au
```

[13]
Density functional theory data (PBE-GGA) for a relaxed structure of AgTeAuI2.

D(E_F): 1.336 states/eV per atom
Mass density: 6.6 g/cm3
Raw formation energy: 0.64 eV per atom

POSCAR file:
```
AgTeAuI2
1.0
5.581 0.000 0.000
0.000 5.581 0.000
0.000 0.000 5.584
Au Te I Ag
1 1 2 1
Direct
0.500 0.500 0.500 Au
0.000 0.000 0.500 Te
0.500 0.000 0.000 I
0.000 0.500 0.000 I
0.000 0.000 0.000 Ag
```

[14]
Density functional theory data (PBE-GGA) for a relaxed structure of AgTe2AuI.

D(E_F): 1.405 states/eV per atom
Mass density: 6.7 g/cm3
Raw formation energy: 0.54 eV per atom

POSCAR file:
```
AgTe2AuI
1.0
5.490 0.000 0.000
0.000 5.490 0.000
0.000 0.000 5.665
Ag Au I Te
1 1 1 2
Direct
0.500 0.500 0.500 Ag
0.000 0.000 0.000 Au
0.000 0.000 0.500 I
0.000 0.500 0.000 Te
0.500 0.000 0.000 Te
```

[15]
Density functional theory data (PBE-GGA) for a relaxed structure of AgTeAuI2.

D(E_F): 1.278 states/eV per atom
Mass density: 6.4 g/cm3
Raw formation energy: 0.43 eV per atom

POSCAR file:
```
AgTeAuI2
1.0
-0.004 -1.391 -5.459
-4.482 -3.306 0.846
-3.380 4.302 -1.094
Te I Ag Au
1 2 1 1
Direct
0.000 0.000 0.500 Te
0.000 0.500 0.000 I
0.500 0.000 0.000 I
0.500 0.500 0.500 Ag
0.000 0.000 0.000 Au
```

[16]
Density functional theory data (PBE-GGA) for a relaxed structure of AgTe2AuI.

D(E_F): 1.813 states/eV per atom
Mass density: 6.9 g/cm3
Raw formation energy: 0.75 eV per atom

POSCAR file:
```
AgTe2AuI
1.0
-1.762 -4.517 2.535
5.101 -1.976 0.024
0.907 2.400 4.907
I Ag Te Au
1 1 2 1
Direct
0.000 0.000 0.500 I
0.000 0.000 0.000 Ag
0.500 0.000 0.000 Te
0.000 0.500 0.000 Te
0.500 0.500 0.500 Au
```

[17]
Density functional theory data (PBE-GGA) for a relaxed structure of Tl3AgAu2I6.

Mass density: 5.2 g/cm3
Raw formation energy: -0.26 eV per atom

POSCAR file:
```
Tl3AgAu2I6
1.0
8.763 0.000 0.000
-4.382 7.589 0.000
0.000 0.000 8.981
Ag I Tl Au
1 6 3 2
Direct
0.000 0.000 0.500 Ag
0.845 0.691 0.713 I
0.309 0.155 0.713 I
0.155 0.309 0.287 I
0.155 0.845 0.287 I
0.691 0.845 0.287 I
0.845 0.155 0.713 I
0.000 0.000 0.000 Tl
0.667 0.333 0.374 Tl
0.333 0.667 0.626 Tl
0.667 0.333 0.702 Au
0.333 0.667 0.298 Au
```

[18]
Density functional theory data (PBE-GGA) for a relaxed structure of Tl2AgAuI5.

D(E_F): 0.729 states/eV per atom
Mass density: 6.6 g/cm3
Raw formation energy: -0.31 eV per atom

POSCAR file:
```
Tl2AgAuI5
1.0
4.350 0.000 0.000
-2.175 11.264 0.000
0.000 0.000 13.852
Ag Tl I Au
2 4 10 2
Direct
0.225 0.449 0.025 Ag
0.775 0.551 0.525 Ag
0.131 0.261 0.686 Tl
0.869 0.739 0.186 Tl
0.884 0.768 0.801 Tl
0.116 0.232 0.301 Tl
0.509 0.019 0.768 I
0.030 0.060 0.049 I
0.686 0.371 0.886 I
0.970 0.940 0.549 I
0.711 0.422 0.169 I
0.314 0.629 0.386 I
0.353 0.705 0.994 I
0.647 0.295 0.494 I
0.491 0.981 0.268 I
0.289 0.578 0.669 I
0.569 0.137 0.947 Au
0.431 0.863 0.447 Au
```

[19]
Density functional theory data (PBE-GGA) for a relaxed structure of TlAg2AuI4.

D(E_F): 0.000 states/eV per atom
Mass density: 6.4 g/cm3
Raw formation energy: -0.23 eV per atom

POSCAR file:
```
TlAg2AuI4
1.0
7.849 0.000 0.000
3.925 6.078 -0.083
3.925 0.416 6.065
I Ag Au Tl
4 2 1 1
Direct
0.552 0.477 0.865 I
0.895 0.523 0.135 I
0.105 0.865 0.477 I
0.448 0.135 0.523 I
0.171 0.329 0.329 Ag
0.829 0.671 0.671 Ag
0.500 0.500 0.500 Au
0.000 0.000 0.000 Tl
```

[20]
Density functional theory data (PBE-GGA) for a relaxed structure of Tl2AgAu2I6.

D(E_F): 0.486 states/eV per atom
Mass density: 6.4 g/cm3
Raw formation energy: -0.24 eV per atom

POSCAR file:
```
Tl2AgAu2I6
1.0
-3.078 -6.525 3.134
2.696 -0.581 -8.432
5.601 0.243 6.004
Tl I Ag Au
2 6 1 2
Direct
0.752 0.504 0.228 Tl
0.248 0.496 0.772 Tl
0.678 0.867 0.194 I
0.322 0.133 0.806 I
0.254 0.509 0.355 I
0.811 0.133 0.806 I
0.746 0.491 0.645 I
0.189 0.867 0.194 I
0.500 0.000 0.500 Ag
0.060 0.119 0.221 Au
0.940 0.881 0.779 Au
```